[1]
CaMg3Ru | Alexandria | PBE | optimized geometry; ΔE_f = 0.060 eV/atom; total energy = -3.153 eV per atom; symmetry = Pm-3m, No. 221; energy relative to the lowest polymorph listed for this composition = 0.000 eV per atom
1.0
5.015 0.000 0.000
0.000 5.015 0.000
0.000 0.000 5.015
Ca Mg Ru
1 3 1
Direct
0.000 0.000 0.000 Ca
0.000 0.500 0.500 Mg
0.500 0.000 0.500 Mg
0.500 0.500 0.000 Mg
0.500 0.500 0.500 Ru


[2]
Er2IrI | Alexandria | PBE | optimized geometry; total energy = -5.857 eV per atom; symmetry = R-3m, No. 166; energy relative to the lowest polymorph listed for this composition = 0.000 eV per atom; formation energy (no corrections) = -0.972 eV per atom
1.0
2.048 1.182 7.810
-2.048 1.182 7.810
0.000 -2.364 7.810
Er Ir I
2 1 1
Direct
0.226 0.226 0.226 Er
0.774 0.774 0.774 Er
0.500 0.500 0.500 Ir
0.000 0.000 0.000 I


- Which value of total energy does entry 1 give?
  -3.153 eV per atom


- What is the formula in the second record?
  Er2IrI


- The lowest total energy belongs to which entry?
  Er2IrI